[1]
! Ac4Tl2Te, relaxed, DFT PBE-GGA; values from VASP
&SYSTEM
  ibrav = 0, nat = 14, ntyp = 3
/
ATOMIC_SPECIES
Ac 227.00 Ac.upf
Tl 204.38 Tl.upf
Te 127.60 Te.upf
ATOMIC_POSITIONS angstrom
Ac 3.2544 4.3675 -3.1305
Ac 5.8446 1.8516 -0.5920
Ac 1.8516 0.7385 1.9465
Ac 1.8516 4.3675 0.5920
Ac 5.8446 3.2544 3.1305
Ac 3.2544 0.7385 5.6689
Ac -0.7385 3.2544 4.4850
Ac -0.7385 1.8516 8.2074
Tl 2.5530 1.3254 -1.2692
Tl 3.7806 -2.5530 6.3462
Tl 2.5530 3.7806 3.8077
Tl 1.3254 7.6590 1.2692
Te 5.1060 0.0000 2.5385
Te 0.0000 0.0000 5.0770
CELL_PARAMETERS angstrom
-5.1060 5.1060 5.0770
5.1060 -5.1060 5.0770
5.1060 5.1060 -5.0770
! N(E_F) ... 0.765 states/eV/atom
! VASP energy ... -4.085 eV/atom
! Symmetry ... No. 122

---

[2]
! Ac5TlTe8, relaxed, DFT PBE-GGA; values from VASP
&SYSTEM
  ibrav = 0, nat = 14, ntyp = 3
/
ATOMIC_SPECIES
Ac 227.00 Ac.upf
Tl 204.38 Tl.upf
Te 127.60 Te.upf
ATOMIC_POSITIONS angstrom
Ac 0.0000 0.0000 0.0000
Ac 2.5329 3.7159 -1.2072
Ac 6.3300 2.5329 1.2072
Ac 2.4900 1.3071 3.7950
Ac -1.3071 2.4900 6.2093
Tl 0.0000 5.0229 2.5011
Te 5.8018 3.3348 -2.0315
Te 3.2446 0.7690 0.5752
Te 4.2540 -1.7783 4.4269
Te -0.7789 1.6882 2.9706
Te 0.7690 6.8013 -0.5752
Te 3.3348 4.2441 2.0315
Te 1.6882 0.7789 7.0336
Te 1.7783 4.2540 5.5774
CELL_PARAMETERS angstrom
-5.0229 5.0229 5.0021
5.0229 -5.0229 5.0021
5.0229 5.0229 -5.0021
! VASP energy ... -4.926 eV/atom
! Symmetry ... No. 82